# Th2AuS

Crystalline Th2AuS at its relaxed geometry (PBE, the Alexandria database).

Calculated values
symmetry	R3m
formation energy from raw total energies	-106.9	kJ/mol of atoms
mass density	11.0	g cm⁻³
energy above the most stable polymorph in this dataset	22	meV/atom
volume	104.5	Å³/cell

abc: 7.9190 7.9190 7.9190
angles: 29.18 29.18 29.18
With the nearest neighbours (Å) after each atom.
Sites, in units of the cell vectors:
Th (0.0000, 0.0000, 0.0000)  3 S 2.87, 3 Au 3.13
Th (0.1845, 0.1845, 0.1845)  3 S 2.85, 3 Au 3.10
Au (0.7600, 0.7600, 0.7600)  6 Th 3.10-3.13
S (0.5914, 0.5914, 0.5914)  6 Th 2.85-2.87

# Ti3AuS

Crystalline Ti3AuS at its relaxed geometry (PBE, the Alexandria database).

Calculated values
symmetry	Cmmm
formation energy from raw total energies	-66.3	kJ/mol of atoms
mass density	7.5	g cm⁻³
energy above the most stable polymorph in this dataset	0	meV/atom
volume	166.1	Å³/cell

abc: 7.5787 7.5787 4.9474
angles: 90.00 90.00 144.24
With the nearest neighbours (Å) after each atom.
Sites, in units of the cell vectors:
Ti (0.0000, 0.0000, 0.2411)  2 Ti 2.39-2.56, 2 S 2.45
Ti (0.0000, 0.0000, 0.7589)  2 Ti 2.39-2.56, 2 S 2.45
Ti (0.1948, 0.8052, 0.0000)  2 S 2.58, 2 Au 2.74, 2 Ti 2.82
Ti (0.3139, 0.6861, 0.5000)  3 S 2.40-2.44
Ti (0.6861, 0.3139, 0.5000)  3 S 2.40-2.44
Ti (0.8052, 0.1948, 0.0000)  2 S 2.58, 2 Au 2.74, 2 Ti 2.82
Au (0.4050, 0.5950, 0.0000)  9 Ti 2.74-3.03, 1 Au 2.74
Au (0.5950, 0.4050, 0.0000)  9 Ti 2.74-3.03, 1 Au 2.74
S (0.1449, 0.8551, 0.5000)  7 Ti 2.40-2.58
S (0.8551, 0.1449, 0.5000)  7 Ti 2.40-2.58

# Ti3AuS

Crystalline Ti3AuS at its relaxed geometry (PBE, the Alexandria database).

Calculated values
symmetry	Pm-3m
formation energy from raw total energies	67.3	kJ/mol of atoms
mass density	5.2	g cm⁻³
energy above the most stable polymorph in this dataset	1385	meV/atom
volume	119.5	Å³/cell

abc: 4.9262 4.9262 4.9262
angles: 90.00 90.00 90.00
With the nearest neighbours (Å) after each atom.
Sites, in units of the cell vectors:
Ti (0.0000, 0.0000, 0.5000)  2 Au 2.46
Ti (0.0000, 0.5000, 0.0000)  2 Au 2.46
Ti (0.5000, 0.0000, 0.0000)  2 Au 2.46
Au (0.0000, 0.0000, 0.0000)  6 Ti 2.46
S (0.5000, 0.5000, 0.5000)  12 Ti 3.48

# TiAuS2

Crystalline TiAuS2 at its relaxed geometry (PBE, the Alexandria database).

Calculated values
symmetry	I-42d
formation energy from raw total energies	-57.7	kJ/mol of atoms
mass density	5.8	g cm⁻³
volume	177.7	Å³/cell

abc: 6.7958 6.7958 6.7958
angles: 130.42 130.42 72.74
With the nearest neighbours (Å) after each atom.
Sites, in units of the cell vectors:
Ti (0.0000, 0.0000, 0.0000)  4 S 2.35
Ti (0.7500, 0.2500, 0.5000)  4 S 2.35
Au (0.2500, 0.7500, 0.5000)  4 S 2.52
Au (0.5000, 0.5000, 0.0000)  4 S 2.52
S (0.0997, 0.6250, 0.9747)  2 Ti 2.35, 2 Au 2.52
S (0.3750, 0.3497, 0.4747)  2 Ti 2.35, 2 Au 2.52
S (0.6503, 0.1250, 0.0253)  2 Ti 2.35, 2 Au 2.52
S (0.8750, 0.9003, 0.5253)  2 Ti 2.35, 2 Au 2.52

# TiAuS3

Crystalline TiAuS3 at its relaxed geometry (PBE, the Alexandria database).

Calculated values
symmetry	Pm-3m
formation energy from raw total energies	60.6	kJ/mol of atoms
mass density	5.3	g cm⁻³
energy above the most stable polymorph in this dataset	707	meV/atom
volume	107.9	Å³/cell

abc: 4.7601 4.7601 4.7601
angles: 90.00 90.00 90.00
With the nearest neighbours (Å) after each atom.
Sites, in units of the cell vectors:
Ti (0.0000, 0.0000, 0.0000)  12 S 3.37
Au (0.5000, 0.5000, 0.5000)  6 S 2.38
S (0.0000, 0.5000, 0.5000)  2 Au 2.38
S (0.5000, 0.0000, 0.5000)  2 Au 2.38
S (0.5000, 0.5000, 0.0000)  2 Au 2.38

# Ti2Au2S

Crystalline Ti2Au2S at its relaxed geometry (PBE, the Alexandria database).

Calculated values
symmetry	P4/mbm
formation energy from raw total energies	-52.1	kJ/mol of atoms
mass density	9.8	g cm⁻³
volume	176.7	Å³/cell

abc: 6.3702 6.3702 4.3543
angles: 90.00 90.00 90.00
With the nearest neighbours (Å) after each atom.
Sites, in units of the cell vectors:
Ti (0.1617, 0.3383, 0.0000)  2 S 2.39
Ti (0.3383, 0.8383, 0.0000)  2 S 2.39
Ti (0.6617, 0.1617, 0.0000)  2 S 2.39
Ti (0.8383, 0.6617, 0.0000)  2 S 2.39
Au (0.1495, 0.6495, 0.5000)  1 Au 2.69, 6 Ti 2.76-2.95
Au (0.3505, 0.1495, 0.5000)  1 Au 2.69, 6 Ti 2.76-2.95
Au (0.6495, 0.8505, 0.5000)  1 Au 2.69, 6 Ti 2.76-2.95
Au (0.8505, 0.3505, 0.5000)  1 Au 2.69, 6 Ti 2.76-2.95
S (0.0000, 0.0000, 0.0000)  4 Ti 2.39
S (0.5000, 0.5000, 0.0000)  4 Ti 2.39

# TiAu2S

Crystalline TiAu2S at its relaxed geometry (PBE, the Alexandria database).

Calculated values
symmetry	I-42d
formation energy from raw total energies	-17.5	kJ/mol of atoms
mass density	10.8	g cm⁻³
volume	145.4	Å³/cell

abc: 5.8943 5.8943 5.8943
angles: 101.19 101.19 127.73
With the nearest neighbours (Å) after each atom.
Sites, in units of the cell vectors:
Ti (0.0000, 0.0000, 0.0000)  2 S 2.60, 4 Au 2.79
Ti (0.7500, 0.2500, 0.5000)  2 S 2.60, 4 Au 2.79
Au (0.1370, 0.6250, 0.0120)  2 Au 2.60, 2 S 2.66, 2 Ti 2.79
Au (0.3750, 0.3870, 0.5120)  2 Au 2.60, 2 S 2.66, 2 Ti 2.79
Au (0.6130, 0.1250, 0.9880)  2 Au 2.60, 2 S 2.66, 2 Ti 2.79
Au (0.8750, 0.8630, 0.4880)  2 Au 2.60, 2 S 2.66, 2 Ti 2.79
S (0.2500, 0.7500, 0.5000)  2 Ti 2.60, 4 Au 2.66
S (0.5000, 0.5000, 0.0000)  2 Ti 2.60, 4 Au 2.66

# Ti2AuS

Crystalline Ti2AuS at its relaxed geometry (PBE, the Alexandria database).

Calculated values
symmetry	I-42d
formation energy from raw total energies	-50.6	kJ/mol of atoms
mass density	7.8	g cm⁻³
volume	139.1	Å³/cell

abc: 5.6705 5.6705 5.6705
angles: 106.48 106.48 115.64
With the nearest neighbours (Å) after each atom.
Sites, in units of the cell vectors:
Ti (0.0880, 0.6250, 0.9630)  2 S 2.35
Ti (0.3750, 0.3380, 0.4630)  2 S 2.35
Ti (0.6620, 0.1250, 0.0370)  2 S 2.35
Ti (0.8750, 0.9120, 0.5370)  2 S 2.35
Au (0.2500, 0.7500, 0.5000)  4 Ti 2.69
Au (0.5000, 0.5000, 0.0000)  4 Ti 2.69
S (0.0000, 0.0000, 0.0000)  4 Ti 2.35
S (0.7500, 0.2500, 0.5000)  4 Ti 2.35

# Ti2AuS

Crystalline Ti2AuS at its relaxed geometry (PBE, the Alexandria database).

Calculated values
symmetry	R-3m
formation energy from raw total energies	-76.6	kJ/mol of atoms
mass density	8.0	g cm⁻³
volume	67.5	Å³/cell

abc: 6.9399 6.9399 6.9399
angles: 28.55 28.55 28.55
With the nearest neighbours (Å) after each atom.
Sites, in units of the cell vectors:
Ti (0.2318, 0.2318, 0.2318)  3 S 2.36
Ti (0.7682, 0.7682, 0.7682)  3 S 2.36
Au (0.0000, 0.0000, 0.0000)  6 Ti 2.83
S (0.5000, 0.5000, 0.5000)  6 Ti 2.36

# TiAuS2

Crystalline TiAuS2 at its relaxed geometry (PBE, the Alexandria database).

Calculated values
symmetry	Fm-3m
formation energy from raw total energies	-19.7	kJ/mol of atoms
mass density	7.9	g cm⁻³
volume	65.3	Å³/cell

abc: 4.5206 4.5206 4.5206
angles: 60.00 60.00 60.00
With the nearest neighbours (Å) after each atom.
Sites, in units of the cell vectors:
Ti (0.0000, 0.0000, 0.0000)  8 S 2.77
Au (0.5000, 0.5000, 0.5000)  8 S 2.77
S (0.2500, 0.2500, 0.2500)  4 Ti 2.77, 4 Au 2.77
S (0.7500, 0.7500, 0.7500)  4 Ti 2.77, 4 Au 2.77

# Ti3AuS

Crystalline Ti3AuS at its relaxed geometry (PBE, the Alexandria database).

Calculated values
symmetry	Pm-3m
formation energy from raw total energies	-46.0	kJ/mol of atoms
mass density	7.0	g cm⁻³
energy above the most stable polymorph in this dataset	211	meV/atom
volume	88.8	Å³/cell

abc: 4.4621 4.4621 4.4621
angles: 90.00 90.00 90.00
With the nearest neighbours (Å) after each atom.
Sites, in units of the cell vectors:
Ti (0.0000, 0.0000, 0.5000)  2 S 2.23
Ti (0.0000, 0.5000, 0.0000)  2 S 2.23
Ti (0.5000, 0.0000, 0.0000)  2 S 2.23
Au (0.5000, 0.5000, 0.5000)  12 Ti 3.16
S (0.0000, 0.0000, 0.0000)  6 Ti 2.23

# TiAuS3

Crystalline TiAuS3 at its relaxed geometry (PBE, the Alexandria database).

Calculated values
symmetry	Pm-3m
formation energy from raw total energies	-7.7	kJ/mol of atoms
mass density	5.5	g cm⁻³
energy above the most stable polymorph in this dataset	0	meV/atom
volume	103.4	Å³/cell

abc: 4.6940 4.6940 4.6940
angles: 90.00 90.00 90.00
With the nearest neighbours (Å) after each atom.
Sites, in units of the cell vectors:
Ti (0.0000, 0.0000, 0.0000)  6 S 2.35
Au (0.5000, 0.5000, 0.5000)  12 S 3.32
S (0.0000, 0.0000, 0.5000)  2 Ti 2.35
S (0.0000, 0.5000, 0.0000)  2 Ti 2.35
S (0.5000, 0.0000, 0.0000)  2 Ti 2.35